# BaCa2AlAu | the Alexandria database | GGA-PBE | optimized geometry
# ρ ... 4294 kg/m³
# Energy of formation ... -0.27 eV/atom
data_BaCa2AlAu
_chemical_formula_sum 'Ba1 Ca2 Al1 Au1'
_cell_length_a 5.792
_cell_length_b 5.792
_cell_length_c 5.089
_cell_angle_alpha 90.00
_cell_angle_beta 90.00
_cell_angle_gamma 90.00
_symmetry_space_group_name_H-M 'P 4/m m m'
_symmetry_Int_Tables_number 123
_symmetry_space_group_name_Hall '-P 4 2'
loop_
_atom_site_label
_atom_site_fract_x
_atom_site_fract_y
_atom_site_fract_z
Ba1 0.000 0.000 0.000
Ca1 0.000 0.500 0.500
Al1 0.500 0.500 0.000
Au1 0.500 0.500 0.500


# BaCaAl2Au5 | the Alexandria database | GGA-PBE | optimized geometry
# ρ ... 9561 kg/m³
# Energy of formation ... -0.54 eV/atom
data_BaCaAl2Au5
_chemical_formula_sum 'Ba1 Ca1 Al2 Au5'
_cell_length_a 5.073
_cell_length_b 5.073
_cell_length_c 8.207
_cell_angle_alpha 90.00
_cell_angle_beta 90.00
_cell_angle_gamma 90.00
_symmetry_space_group_name_H-M 'P 4/m m m'
_symmetry_Int_Tables_number 123
_symmetry_space_group_name_Hall '-P 4 2'
loop_
_atom_site_label
_atom_site_fract_x
_atom_site_fract_y
_atom_site_fract_z
Ba1 0.000 0.000 0.000
Ca1 0.000 0.000 0.500
Al1 0.500 0.500 0.329
Au1 0.000 0.500 0.279
Au2 0.500 0.500 0.000


# BaCa2AlAu4 | the Alexandria database | GGA-PBE | optimized geometry
# ρ ... 8365 kg/m³
# Energy of formation ... -0.63 eV/atom
data_BaCa2AlAu4
_chemical_formula_sum 'Ba3 Ca6 Al3 Au12'
_cell_length_a 5.0690
_cell_length_b 5.0690
_cell_length_c 27.6287
_cell_angle_alpha 90.00
_cell_angle_beta 90.00
_cell_angle_gamma 120.00
_symmetry_space_group_name_H-M 'R -3 m'
_symmetry_Int_Tables_number 166
_symmetry_space_group_name_Hall '-R 3 2"'
loop_
_atom_site_label
_atom_site_fract_x
_atom_site_fract_y
_atom_site_fract_z
Ba1 0.0000 0.0000 0.0000
Ca1 0.0000 0.0000 0.2319
Al1 0.0000 0.0000 0.5000
Au1 0.0000 0.0000 0.1256
Au2 0.0000 0.0000 0.4053


V list, top to bottom, in Å³ per atom: 34.144; 23.470; 25.616